(1)
The following is a PBE calculation of crystalline TiSb2S at its relaxed geometry, from Alexandria.

```
TiSb2S
1.0
6.1407 0.0000 0.0000
0.0000 6.1407 0.0000
0.0000 0.0000 13.1296
Ti Sb S
4 8 4
Cartesian
0.0000 0.0000 0.0000 Ti
0.0000 3.0704 3.2824 Ti
3.0704 0.0000 9.8472 Ti
3.0704 3.0704 6.5648 Ti
1.4882 1.5352 1.6412 Sb
1.5352 4.5586 4.9236 Sb
1.5352 4.6525 11.4884 Sb
1.5822 1.5352 8.2060 Sb
4.5586 4.6055 8.2060 Sb
4.6055 1.4882 11.4884 Sb
4.6055 1.5822 4.9236 Sb
4.6525 4.6055 1.6412 Sb
0.0000 0.0000 6.5648 S
0.0000 3.0704 9.8472 S
3.0704 0.0000 3.2824 S
3.0704 3.0704 0.0000 S
```

## Properties
Density of states at the Fermi level = 1.2249 states/eV/atom
VASP energy = -75.554 eV per cell
E_form (uncorrected) = 0.3447 eV/atom
V = 30.94 Å³/atom

***

(2)
The following is a PBE calculation of crystalline TiSbS4 at its relaxed geometry, from Alexandria.

```
TiSbS4
1.0
14.6014 0.0000 0.0000
0.0000 3.5702 0.0000
-2.7223 0.0000 5.7443
Ti Sb S
2 2 8
Cartesian
0.0000 0.0000 0.0000 Ti
7.3007 1.7851 0.0000 Ti
-1.3612 1.7851 2.8722 Sb
5.9395 0.0000 2.8722 Sb
-1.0398 1.7851 5.4413 S
0.4744 0.0000 2.4073 S
4.1039 1.7851 3.3370 S
5.6181 0.0000 0.3030 S
6.2609 0.0000 5.4413 S
7.7751 1.7851 2.4073 S
11.4046 0.0000 3.3370 S
12.9188 1.7851 0.3030 S
```

## Properties
Density of states at the Fermi level = 0.5203 states/eV/atom
VASP energy = -65.364 eV per cell
E_form (uncorrected) = -0.6925 eV/atom
V = 24.95 Å³/atom

***

(3)
The following is a PBE calculation of crystalline Ti3SbS at its relaxed geometry, from Alexandria.

```
Ti3SbS
1.0
4.8754 0.0000 0.0000
0.0000 4.7984 0.0000
-1.1351 0.0000 7.5655
Ti Sb S
6 2 2
Cartesian
0.0366 1.1996 0.6977 Ti
1.2626 1.1996 3.4152 Ti
1.2919 1.1996 6.5414 Ti
2.4484 3.5988 1.0241 Ti
2.4777 3.5988 4.1504 Ti
3.7037 3.5988 6.8678 Ti
0.0066 3.5988 2.4277 Sb
3.7338 1.1996 5.1378 Sb
1.2191 3.5988 6.1805 S
2.5212 1.1996 1.3851 S
```

## Properties
Density of states at the Fermi level = 0.9602 states/eV/atom
VASP energy = -70.682 eV per cell
E_form (uncorrected) = -0.6813 eV/atom
V = 17.70 Å³/atom
ΔE to the lowest computed polymorph = 0 meV per atom

***

(4)
The following is a PBE calculation of crystalline TiSbS3 at its relaxed geometry, from Alexandria.

```
TiSbS3
1.0
4.7123 0.0000 0.0000
0.0000 4.7123 0.0000
0.0000 0.0000 4.7123
Ti Sb S
1 1 3
Cartesian
0.0000 0.0000 0.0000 Ti
2.3561 2.3561 2.3561 Sb
0.0000 0.0000 2.3561 S
0.0000 2.3561 0.0000 S
2.3561 0.0000 0.0000 S
```

## Properties
Density of states at the Fermi level = 0.9659 states/eV/atom
VASP energy = -26.153 eV per cell
E_form (uncorrected) = -0.3507 eV/atom
V = 20.93 Å³/atom

***

(5)
The following is a PBE calculation of crystalline Ti2SbS at its relaxed geometry, from Alexandria.

```
Ti2SbS
1.0
3.5676 0.0000 0.0000
-1.7838 3.0896 0.0000
0.0000 0.0000 19.4861
Ti Sb S
6 3 3
Cartesian
0.0000 0.0000 0.0000 Ti
0.0000 0.0000 3.9629 Ti
0.0000 2.0598 12.9907 Ti
0.0000 2.0598 16.9536 Ti
1.7838 1.0299 6.4954 Ti
1.7838 1.0299 10.4583 Ti
0.0000 0.0000 8.4545 Sb
0.0000 2.0598 1.9591 Sb
1.7838 1.0299 14.9499 Sb
0.0000 0.0000 11.7393 S
0.0000 2.0598 5.2439 S
1.7838 1.0299 18.2346 S
```

## Properties
Density of states at the Fermi level = 0.6155 states/eV/atom
VASP energy = -82.861 eV per cell
E_form (uncorrected) = -0.8952 eV/atom
V = 17.90 Å³/atom
ΔE to the lowest computed polymorph = 0 meV per atom

***

(6)
The following is a PBE calculation of crystalline TiSbS at its relaxed geometry, from Alexandria.

```
TiSbS
1.0
3.3723 0.0000 0.0000
-1.6861 2.9205 0.0000
0.0000 0.0000 7.0431
Ti Sb S
1 1 1
Cartesian
0.0000 0.0000 0.0000 Ti
0.0000 1.9470 4.8302 Sb
1.6861 0.9735 1.3474 S
```

## Properties
Density of states at the Fermi level = 0.6460 states/eV/atom
VASP energy = -18.533 eV per cell
E_form (uncorrected) = -0.7962 eV/atom
V = 23.12 Å³/atom
ΔE to the lowest computed polymorph = 0 meV per atom

***

(7)
The following is a PBE calculation of crystalline Ti2SbS at its relaxed geometry, from Alexandria.

```
Ti2SbS
1.0
5.7951 0.0000 0.0000
0.0000 5.7951 0.0000
0.0000 0.0000 11.8347
Ti Sb S
8 4 4
Cartesian
1.1318 1.4488 1.4793 Ti
1.4488 4.0293 4.4380 Ti
1.4488 4.6633 10.3553 Ti
1.7658 1.4488 7.3967 Ti
4.0293 4.3463 7.3967 Ti
4.3463 1.1318 10.3553 Ti
4.3463 1.7658 4.4380 Ti
4.6633 4.3463 1.4793 Ti
0.0000 0.0000 5.9173 Sb
0.0000 2.8975 8.8760 Sb
2.8975 0.0000 2.9587 Sb
2.8975 2.8975 0.0000 Sb
0.0000 0.0000 0.0000 S
0.0000 2.8975 2.9587 S
2.8975 0.0000 8.8760 S
2.8975 2.8975 5.9173 S
```

## Properties
Density of states at the Fermi level = 1.2199 states/eV/atom
VASP energy = -102.033 eV per cell
E_form (uncorrected) = -0.3672 eV/atom
V = 24.84 Å³/atom
ΔE to the lowest computed polymorph = 528 meV per atom

***

(8)
The following is a PBE calculation of crystalline TiSbS3 at its relaxed geometry, from Alexandria.

```
TiSbS3
1.0
1.9776 -10.4546 0.0000
1.9776 10.4546 0.0000
0.0000 0.0000 6.5251
Ti Sb S
2 2 6
Cartesian
1.9776 8.0730 3.2626 Ti
1.9776 -8.0730 0.0000 Ti
1.9776 3.4551 3.7434 Sb
1.9776 -3.4551 0.4808 Sb
1.9776 8.1545 5.5778 S
1.9776 6.0046 2.2089 S
1.9776 1.4925 5.5348 S
1.9776 -1.4925 2.2723 S
1.9776 -6.0046 5.4715 S
1.9776 -8.1545 2.3152 S
```

## Properties
Density of states at the Fermi level = 0.6340 states/eV/atom
VASP energy = -54.994 eV per cell
E_form (uncorrected) = -0.6195 eV/atom
V = 26.98 Å³/atom

***

(9)
The following is a PBE calculation of crystalline Ti4SbS at its relaxed geometry, from Alexandria.

```
Ti4SbS
1.0
6.6260 -2.6059 0.0000
6.6260 2.6059 0.0000
-1.8163 0.0000 6.1504
Ti Sb S
8 2 2
Cartesian
4.5275 2.0974 3.4052 Ti
6.0002 2.0974 5.8204 Ti
2.6238 0.5613 5.2741 Ti
3.5320 -0.5613 2.1989 Ti
7.9039 0.5613 3.9515 Ti
8.8120 -0.5613 0.8763 Ti
5.4357 -2.0974 0.3300 Ti
6.9083 -2.0974 2.7452 Ti
6.1720 0.6161 1.5376 Sb
5.2639 -0.6161 4.6128 Sb
2.4049 1.3029 3.0752 S
3.3130 -1.3029 0.0000 S
```

## Properties
Density of states at the Fermi level = 0.9681 states/eV/atom
VASP energy = -86.667 eV per cell
E_form (uncorrected) = -0.5840 eV/atom
V = 17.70 Å³/atom

***

(10)
The following is a PBE calculation of crystalline TiSb3S8 at its relaxed geometry, from Alexandria.

```
TiSb3S8
1.0
6.3763 -3.6960 0.0000
6.3763 3.6960 0.0000
-4.3037 0.0000 6.8664
Ti Sb S
1 3 8
Cartesian
0.0000 0.0000 0.0000 Ti
3.1882 1.8480 0.0000 Sb
3.1882 -1.8480 0.0000 Sb
6.3763 0.0000 0.0000 Sb
2.0010 0.0000 1.4281 S
5.3757 1.9600 1.4277 S
3.0733 1.9600 5.4388 S
-0.0592 0.0000 5.3034 S
8.5082 0.0000 1.5631 S
5.3757 -1.9600 1.4277 S
3.0733 -1.9600 5.4388 S
6.4480 0.0000 5.4384 S
```

## Properties
Density of states at the Fermi level = 0.2951 states/eV/atom
VASP energy = -58.375 eV per cell
E_form (uncorrected) = -0.4245 eV/atom
V = 26.97 Å³/atom

***

(11)
The following is a PBE calculation of crystalline TiSbS at its relaxed geometry, from Alexandria.

```
TiSbS
1.0
6.2662 0.0000 0.0000
0.0000 5.5442 0.0000
-4.7446 0.0000 7.1495
Ti Sb S
4 4 4
Cartesian
0.0522 0.7012 1.3531 Ti
-2.3201 2.0709 4.9278 Ti
3.8417 3.4733 2.2216 Ti
1.4694 4.8431 5.7964 Ti
1.4776 3.2345 0.5156 Sb
-0.8946 5.0818 4.0904 Sb
2.4163 0.4624 3.0591 Sb
0.0440 2.3097 6.6339 Sb
-3.0599 0.6462 6.6982 S
-0.6876 2.1259 3.1235 S
2.2093 3.4183 4.0260 S
4.5816 4.8980 0.4513 S
```

## Properties
Density of states at the Fermi level = 0.5225 states/eV/atom
VASP energy = -71.856 eV per cell
E_form (uncorrected) = -0.6064 eV/atom
V = 20.70 Å³/atom
ΔE to the lowest computed polymorph = 190 meV per atom

***

(12)
The following is a PBE calculation of crystalline Ti2Sb2S at its relaxed geometry, from Alexandria.

```
Ti2Sb2S
1.0
7.0434 0.0000 0.0000
0.0000 7.0434 0.0000
0.0000 0.0000 3.9869
Ti Sb S
4 4 2
Cartesian
1.1012 2.4205 0.0000 Ti
2.4205 5.9421 0.0000 Ti
4.6229 1.1012 0.0000 Ti
5.9421 4.6229 0.0000 Ti
1.0259 4.5476 1.9935 Sb
2.4957 1.0259 1.9935 Sb
4.5476 6.0174 1.9935 Sb
6.0174 2.4957 1.9935 Sb
0.0000 0.0000 0.0000 S
3.5217 3.5217 0.0000 S
```

## Properties
Density of states at the Fermi level = 0.2407 states/eV/atom
VASP energy = -60.827 eV per cell
E_form (uncorrected) = -0.4503 eV/atom
V = 19.78 Å³/atom

***

(13)
The following is a PBE calculation of crystalline TiSbS3 at its relaxed geometry, from Alexandria.

```
TiSbS3
1.0
4.9438 0.0000 0.0000
0.0000 4.9438 0.0000
0.0000 0.0000 4.9438
Ti Sb S
1 1 3
Cartesian
0.0000 0.0000 0.0000 Ti
2.4719 2.4719 2.4719 Sb
0.0000 2.4719 2.4719 S
2.4719 0.0000 2.4719 S
2.4719 2.4719 0.0000 S
```

## Properties
Density of states at the Fermi level = 3.3615 states/eV/atom
VASP energy = -21.702 eV per cell
E_form (uncorrected) = 0.5395 eV/atom
V = 24.17 Å³/atom

***

(14)
The following is a PBE calculation of crystalline Ti2SbS at its relaxed geometry, from Alexandria.

```
Ti2SbS
1.0
3.5976 0.0000 0.0000
-1.7988 3.1156 0.0000
0.0000 0.0000 19.3428
Ti Sb S
6 3 3
Cartesian
0.0000 0.0000 4.4339 Ti
0.0000 0.0000 14.9088 Ti
0.0000 2.0771 8.4613 Ti
0.0000 2.0771 17.3291 Ti
1.7988 1.0385 2.0136 Ti
1.7988 1.0385 10.8815 Ti
0.0000 0.0000 0.0000 Sb
0.0000 2.0771 12.8952 Sb
1.7988 1.0385 6.4476 Sb
0.0000 0.0000 9.6714 S
0.0000 2.0771 3.2238 S
1.7988 1.0385 16.1190 S
```

## Properties
Density of states at the Fermi level = 0.7535 states/eV/atom
VASP energy = -82.631 eV per cell
E_form (uncorrected) = -0.8760 eV/atom
V = 18.07 Å³/atom
ΔE to the lowest computed polymorph = 19 meV per atom

***

(15)
The following is a PBE calculation of crystalline Ti3SbS at its relaxed geometry, from Alexandria.

```
Ti3SbS
1.0
5.1251 0.0000 0.0000
0.0000 5.1251 0.0000
0.0000 0.0000 5.1251
Ti Sb S
3 1 1
Cartesian
0.0000 0.0000 2.5625 Ti
0.0000 2.5625 0.0000 Ti
2.5625 0.0000 0.0000 Ti
0.0000 0.0000 0.0000 Sb
2.5625 2.5625 2.5625 S
```

## Properties
Density of states at the Fermi level = 0.9020 states/eV/atom
VASP energy = -27.626 eV per cell
E_form (uncorrected) = 0.8617 eV/atom
V = 26.92 Å³/atom
ΔE to the lowest computed polymorph = 1543 meV per atom

***

(16)
The following is a PBE calculation of crystalline Ti5SbS at its relaxed geometry, from Alexandria.

```
Ti5SbS
1.0
3.7214 -4.0737 0.0000
3.7214 4.0737 0.0000
-1.6488 0.0000 8.1849
Ti Sb S
10 2 2
Cartesian
2.1341 2.1655 2.8872 Ti
2.4848 3.0420 6.1387 Ti
0.5017 0.7763 7.9511 Ti
4.4842 2.1655 1.2053 Ti
1.3261 -0.7763 3.8587 Ti
4.4679 0.7763 4.3262 Ti
1.3097 -2.1655 6.9796 Ti
5.2923 -0.7763 0.2338 Ti
3.3092 -3.0420 2.0462 Ti
3.6599 -2.1655 5.2977 Ti
2.4848 0.2994 6.1387 Sb
3.3092 -0.2994 2.0462 Sb
0.0000 0.0000 0.0000 S
-0.8244 0.0000 4.0925 S
```

## Properties
Density of states at the Fermi level = 1.0321 states/eV/atom
VASP energy = -102.458 eV per cell
E_form (uncorrected) = -0.5006 eV/atom
V = 17.73 Å³/atom

***

(17)
The following is a PBE calculation of crystalline Ti3SbS at its relaxed geometry, from Alexandria.

```
Ti3SbS
1.0
4.5285 0.0000 0.0000
0.0000 4.5285 0.0000
0.0000 0.0000 4.5285
Ti Sb S
3 1 1
Cartesian
0.0000 0.0000 2.2643 Ti
0.0000 2.2643 0.0000 Ti
2.2643 0.0000 0.0000 Ti
2.2643 2.2643 2.2643 Sb
0.0000 0.0000 0.0000 S
```

## Properties
Density of states at the Fermi level = 1.1990 states/eV/atom
VASP energy = -34.367 eV per cell
E_form (uncorrected) = -0.4864 eV/atom
V = 18.57 Å³/atom
ΔE to the lowest computed polymorph = 195 meV per atom

***

(18)
The following is a PBE calculation of crystalline Ti3SbS at its relaxed geometry, from Alexandria.

```
Ti3SbS
1.0
2.9753 -6.9581 0.0000
2.9753 6.9581 0.0000
0.0000 0.0000 4.4502
Ti Sb S
6 2 2
Cartesian
1.4877 3.4790 2.2251 Ti
2.9753 4.5649 0.0000 Ti
1.6642 0.0000 2.2251 Ti
1.4877 -3.4790 2.2251 Ti
4.2864 0.0000 2.2251 Ti
2.9753 -4.5649 0.0000 Ti
2.9753 1.7329 0.0000 Sb
2.9753 -1.7329 0.0000 Sb
2.9753 5.3349 2.2251 S
2.9753 -5.3349 2.2251 S
```

## Properties
Density of states at the Fermi level = 1.0922 states/eV/atom
VASP energy = -69.845 eV per cell
E_form (uncorrected) = -0.5976 eV/atom
V = 18.43 Å³/atom
ΔE to the lowest computed polymorph = 84 meV per atom

***

(19)
The following is a PBE calculation of crystalline Ti2SbS at its relaxed geometry, from Alexandria.

```
Ti2SbS
1.0
6.5432 0.0000 0.0000
0.0000 6.5432 0.0000
0.0000 0.0000 6.5432
Ti Sb S
8 4 4
Cartesian
1.6358 1.6358 1.6358 Ti
1.6358 1.6358 4.9074 Ti
1.6358 4.9074 1.6358 Ti
1.6358 4.9074 4.9074 Ti
4.9074 1.6358 1.6358 Ti
4.9074 1.6358 4.9074 Ti
4.9074 4.9074 1.6358 Ti
4.9074 4.9074 4.9074 Ti
0.0000 0.0000 0.0000 Sb
0.0000 3.2716 3.2716 Sb
3.2716 0.0000 3.2716 Sb
3.2716 3.2716 0.0000 Sb
0.0000 0.0000 3.2716 S
0.0000 3.2716 0.0000 S
3.2716 0.0000 0.0000 S
3.2716 3.2716 3.2716 S
```

## Properties
Density of states at the Fermi level = 0.8096 states/eV/atom
VASP energy = -104.006 eV per cell
E_form (uncorrected) = -0.4905 eV/atom
V = 17.51 Å³/atom
ΔE to the lowest computed polymorph = 405 meV per atom

***

(20)
The following is a PBE calculation of crystalline TiTl3Sb3S8 at its relaxed geometry, from Alexandria.

```
TiTl3Sb3S8
1.0
6.7712 -3.9125 0.0000
6.7712 3.9125 0.0000
-4.5084 0.0000 7.5317
Ti Tl Sb S
1 3 3 8
Cartesian
0.0000 0.0000 0.0000 Ti
-2.2542 0.0000 3.7659 Tl
1.1314 1.9563 3.7659 Tl
1.1314 -1.9563 3.7659 Tl
3.3856 1.9563 0.0000 Sb
3.3856 -1.9563 0.0000 Sb
6.7712 0.0000 0.0000 Sb
5.7386 2.1225 1.4007 S
2.0678 0.0000 1.4019 S
3.2954 2.1225 6.1310 S
0.0040 0.0000 5.9694 S
9.0299 0.0000 1.5623 S
5.7386 -2.1225 1.4007 S
6.9662 0.0000 6.1298 S
3.2954 -2.1225 6.1310 S
```

## Properties
Density of states at the Fermi level = 0.0048 states/eV/atom
VASP energy = -68.146 eV per cell
E_form (uncorrected) = -0.5177 eV/atom
V = 26.60 Å³/atom